! AgSb4Au (PBE, optimized geometry); values from VASP
! - Energy relative to the lowest polymorph listed for this composition: 2.862 eV per formula unit
! - ΔE_f (raw): 0.507 eV per atom
! - M_tot: 0.0 μB per cell
! - VASP energy: -3.263 eV per atom
&SYSTEM
  ibrav = 0, nat = 6, ntyp = 3
/
ATOMIC_SPECIES
Sb 121.76 Sb.upf
Au 196.97 Au.upf
Ag 107.87 Ag.upf
CELL_PARAMETERS angstrom
0.0000 4.3616 4.3616
4.3616 0.0000 4.3616
4.3616 4.3616 0.0000
ATOMIC_POSITIONS crystal
Sb 0.3725 0.3725 0.8826
Sb 0.3725 0.3725 0.3725
Sb 0.8826 0.3725 0.3725
Sb 0.3725 0.8826 0.3725
Au 0.0000 0.0000 0.0000
Ag 0.7500 0.7500 0.7500